Entry 1:
{
  "formula": "Zn2CrIr",
  "functional": "PBEsol",
  "state": "optimized geometry",
  "formation_energy_kj_per_mol_atoms": -10,
  "magnetic_moment_mub_per_atom": 0.00,
  "space_group": "P4mm (99)",
  "de_polymorph_kcal_per_mol_atoms": 0.00,
  "lattice_angstrom": [[2.752, 0.000, 0.000], [0.000, 2.752, 0.000], [0.000, 0.000, 6.915]],
  "species": ["Zn", "Zn", "Cr", "Ir"],
  "fractional_positions": [[0.000, 0.000, 0.000], [0.500, 0.500, 0.261], [0.000, 0.000, 0.508], [0.500, 0.500, 0.735]]
}



Entry 2:
{
  "formula": "BaAl2O4",
  "functional": "PBEsol",
  "state": "optimized geometry",
  "raw_formation_energy_ev_per_fu": -21.32,
  "magnetic_moment_mub_per_atom": 0.00,
  "space_group": "P6_3 (173)",
  "de_polymorph_kcal_per_mol_atoms": 0.00,
  "lattice_angstrom": [[10.463, 0.000, 0.000], [-5.232, 9.061, 0.000], [0.000, 0.000, 8.778]],
  "species": ["Ba", "Ba", "Ba", "Ba", "Ba", "Ba", "Ba", "Ba", "Al", "Al", "Al", "Al", "Al", "Al", "Al", "Al", "Al", "Al", "Al", "Al", "Al", "Al", "Al", "Al", "O", "O", "O", "O", "O", "O", "O", "O", "O", "O", "O", "O", "O", "O", "O", "O", "O", "O", "O", "O", "O", "O", "O", "O", "O", "O", "O", "O", "O", "O", "O", "O"],
  "fractional_positions": [[0.000, 0.000, 0.000], [0.000, 0.000, 0.500], [0.009, 0.507, 0.487], [0.493, 0.503, 0.487], [0.497, 0.991, 0.487], [0.503, 0.009, 0.987], [0.507, 0.497, 0.987], [0.991, 0.493, 0.987], [0.153, 0.826, 0.794], [0.155, 0.824, 0.181], [0.174, 0.327, 0.794], [0.176, 0.331, 0.181], [0.327, 0.153, 0.294], [0.331, 0.155, 0.681], [0.333, 0.667, 0.297], [0.333, 0.667, 0.700], [0.667, 0.333, 0.200], [0.667, 0.333, 0.797], [0.669, 0.845, 0.181], [0.673, 0.847, 0.794], [0.824, 0.669, 0.681], [0.826, 0.673, 0.294], [0.845, 0.176, 0.681], [0.847, 0.174, 0.294], [0.000, 0.315, 0.197], [0.000, 0.685, 0.697], [0.003, 0.825, 0.266], [0.107, 0.788, 0.988], [0.175, 0.179, 0.266], [0.178, 0.677, 0.242], [0.179, 0.003, 0.766], [0.180, 0.497, 0.757], [0.212, 0.319, 0.988], [0.315, 0.000, 0.197], [0.315, 0.315, 0.697], [0.317, 0.820, 0.757], [0.319, 0.107, 0.488], [0.323, 0.501, 0.242], [0.333, 0.667, 0.498], [0.497, 0.317, 0.257], [0.499, 0.822, 0.242], [0.501, 0.178, 0.742], [0.503, 0.683, 0.757], [0.667, 0.333, 0.998], [0.677, 0.499, 0.742], [0.681, 0.893, 0.988], [0.683, 0.180, 0.257], [0.685, 0.000, 0.697], [0.685, 0.685, 0.197], [0.788, 0.681, 0.488], [0.820, 0.503, 0.257], [0.821, 0.997, 0.266], [0.822, 0.323, 0.742], [0.825, 0.821, 0.766], [0.893, 0.212, 0.488], [0.997, 0.175, 0.766]]
}



Entry 3:
{
  "formula": "Nd6Fe13Si",
  "functional": "PBEsol",
  "state": "optimized geometry",
  "raw_formation_energy_ev_per_fu": -0.89,
  "magnetic_moment_mub_per_atom": 1.23,
  "space_group": "I4/mcm (140)",
  "lattice_angstrom": [[-3.918, 3.918, 11.285], [3.918, -3.918, 11.285], [3.918, 3.918, -11.285]],
  "species": ["Nd", "Nd", "Nd", "Nd", "Nd", "Nd", "Nd", "Nd", "Nd", "Nd", "Nd", "Nd", "Fe", "Fe", "Fe", "Fe", "Fe", "Fe", "Fe", "Fe", "Fe", "Fe", "Fe", "Fe", "Fe", "Fe", "Fe", "Fe", "Fe", "Fe", "Fe", "Fe", "Fe", "Fe", "Fe", "Fe", "Fe", "Fe", "Si", "Si"],
  "fractional_positions": [[0.021, 0.521, 0.165], [0.109, 0.109, 0.000], [0.144, 0.979, 0.500], [0.356, 0.856, 0.835], [0.391, 0.391, 0.000], [0.479, 0.644, 0.500], [0.521, 0.356, 0.500], [0.609, 0.609, 0.000], [0.644, 0.144, 0.165], [0.856, 0.021, 0.500], [0.891, 0.891, 0.000], [0.979, 0.479, 0.835], [0.000, 0.500, 0.500], [0.017, 0.293, 0.500], [0.066, 0.209, 0.275], [0.120, 0.620, 0.860], [0.207, 0.483, 0.500], [0.209, 0.934, 0.142], [0.240, 0.740, 0.860], [0.260, 0.120, 0.500], [0.291, 0.434, 0.725], [0.293, 0.793, 0.275], [0.380, 0.240, 0.500], [0.434, 0.709, 0.142], [0.483, 0.983, 0.275], [0.500, 0.000, 0.500], [0.517, 0.017, 0.725], [0.566, 0.291, 0.858], [0.620, 0.760, 0.500], [0.707, 0.207, 0.725], [0.709, 0.566, 0.275], [0.740, 0.880, 0.500], [0.760, 0.260, 0.140], [0.791, 0.066, 0.858], [0.793, 0.517, 0.500], [0.880, 0.380, 0.140], [0.934, 0.791, 0.725], [0.983, 0.707, 0.500], [0.250, 0.250, 0.000], [0.750, 0.750, 0.000]]
}



Entry 4:
{
  "formula": "BaSbPb2",
  "functional": "PBEsol",
  "state": "optimized geometry",
  "raw_formation_energy_ev_per_fu": -1.26,
  "magnetic_moment_mub_per_atom": 0.00,
  "space_group": "F-43m (216)",
  "lattice_angstrom": [[0.000, 4.014, 4.014], [4.014, 0.000, 4.014], [4.014, 4.014, 0.000]],
  "species": ["Ba", "Sb", "Pb", "Pb"],
  "fractional_positions": [[0.000, 0.000, 0.000], [0.750, 0.750, 0.750], [0.250, 0.250, 0.250], [0.500, 0.500, 0.500]]
}



Q: What is the formula in the second record?
A: BaAl2O4